[1]
Here is La2HS at its PBEsol-relaxed geometry from Alexandria. Energies are from meta-GGA SCAN.

Results
The final energy comes out at -0.956 Ha/atom. As for the excess energy over the best structure of this formula in the dataset: 0.0 meV/atom. Its density of states at the Fermi level is 5.332 states/eV per cell.

extended XYZ file:
```
8
Lattice="6.039 0.039 0.065 -2.109 5.659 -0.065 -2.109 -2.750 4.946" Properties=species:S:1:pos:R:3 pbc="T T T"
S 0.000 0.000 0.000
S 0.911 3.576 1.220
La 3.166 -0.081 4.066
La 0.146 1.493 3.083
La 2.730 0.728 0.643
La -2.398 3.757 2.101
H -2.109 1.454 2.441
H 0.911 -0.628 3.726
```

[2]
Here is SrMn2Tl at its PBEsol-relaxed geometry from Alexandria. Energies are from meta-GGA SCAN.

Results
The final energy comes out at -1.198 Ha/atom. As for the excess energy over the best structure of this formula in the dataset: 121.3 meV/atom. Its density of states at the Fermi level is 4.399 states/eV per cell.

extended XYZ file:
```
4
Lattice="4.945 -0.029 -0.042 -2.452 4.294 0.042 -2.452 -1.428 4.050" Properties=species:S:1:pos:R:3 pbc="T T T"
Sr 0.000 0.000 0.000
Mn 0.021 -0.012 3.027
Mn 0.021 2.849 1.023
Tl -2.452 1.433 2.046
```

[3]
Here is YTc3Pd at its PBEsol-relaxed geometry from Alexandria. Energies are from meta-GGA SCAN.

Results
The final energy comes out at -1.125 Ha/atom. Its density of states at the Fermi level is 5.583 states/eV per cell.

extended XYZ file:
```
5
Lattice="-2.137 3.761 -1.559 -2.804 -2.636 -2.517 -2.952 -0.219 3.518" Properties=species:S:1:pos:R:3 pbc="T T T"
Tc -1.068 1.881 -0.779
Tc -1.402 -1.318 -1.258
Tc -1.476 -0.109 1.759
Pd -3.946 0.453 -0.278
Y 0.000 0.000 0.000
```

[4]
Here is TlCd3 at its PBEsol-relaxed geometry from Alexandria. Energies are from meta-GGA SCAN.

Results
The final energy comes out at -1.500 Ha/atom. Its density of states at the Fermi level is 1.417 states/eV per cell.

extended XYZ file:
```
4
Lattice="-1.683 -2.031 1.732 4.017 -0.894 2.853 -1.567 4.339 3.566" Properties=species:S:1:pos:R:3 pbc="T T T"
Cd -0.144 2.166 5.276
Cd -1.540 4.263 3.504
Cd -1.652 1.228 2.710
Tl 1.490 0.988 2.606
```